Record 1
# Ca3Ga2Au7 (GGA-PBE, optimized geometry)
# - E_form: -540.5 meV per atom
# - Excess energy over the best structure of this formula in the dataset: 0 meV/atom
# - SG: I4/mmm (139)
data_Ca3Ga2Au7
_chemical_formula_sum 'Ca3 Ga2 Au7'
_space_group_name_H-M_alt 'P 1'
_space_group_IT_number 1
_space_group_name_Hall 'P 1'
_cell_length_a 4.298
_cell_length_b 4.298
_cell_length_c 14.371
_cell_angle_alpha 98.60
_cell_angle_beta 98.60
_cell_angle_gamma 90.00
loop_
_atom_site_label
_atom_site_type_symbol
_atom_site_fract_x
_atom_site_fract_y
_atom_site_fract_z
Au1 Au 0.421 0.921 0.843
Au2 Au 0.222 0.222 0.444
Au3 Au 0.921 0.421 0.843
Au4 Au 0.579 0.079 0.157
Au5 Au 0.079 0.579 0.157
Au6 Au 0.778 0.778 0.556
Au7 Au 0.000 0.000 0.000
Ca1 Ca 0.328 0.328 0.656
Ca2 Ca 0.500 0.500 0.000
Ca3 Ca 0.672 0.672 0.344
Ga1 Ga 0.869 0.869 0.739
Ga2 Ga 0.131 0.131 0.261

Record 2
# ScAg3B (GGA-PBE, optimized geometry)
# - E_form: 1794.7 meV per atom
# - Excess energy over the best structure of this formula in the dataset: 1576 meV/atom
# - SG: Pm-3m (221)
data_ScAg3B
_chemical_formula_sum 'Sc1 Ag3 B1'
_space_group_name_H-M_alt 'P 1'
_space_group_IT_number 1
_space_group_name_Hall 'P 1'
_cell_length_a 5.201
_cell_length_b 5.201
_cell_length_c 5.201
_cell_angle_alpha 90.00
_cell_angle_beta 90.00
_cell_angle_gamma 90.00
loop_
_atom_site_label
_atom_site_type_symbol
_atom_site_fract_x
_atom_site_fract_y
_atom_site_fract_z
Ag1 Ag 0.500 0.000 0.000
Ag2 Ag 0.000 0.000 0.500
Ag3 Ag 0.000 0.500 0.000
B1 B 0.500 0.500 0.500
Sc1 Sc 0.000 0.000 0.000

Record 3
# Mg5AlPb6 (GGA-PBE, optimized geometry)
# - E_form: 10.1 meV per atom
# - SG: P2/m (10)
data_Mg5AlPb6
_chemical_formula_sum 'Mg5 Al1 Pb6'
_space_group_name_H-M_alt 'P 1'
_space_group_IT_number 1
_space_group_name_Hall 'P 1'
_cell_length_a 5.385
_cell_length_b 7.119
_cell_length_c 8.507
_cell_angle_alpha 90.00
_cell_angle_beta 73.56
_cell_angle_gamma 90.00
loop_
_atom_site_label
_atom_site_type_symbol
_atom_site_fract_x
_atom_site_fract_y
_atom_site_fract_z
Al1 Al 0.000 0.000 0.000
Pb1 Pb 0.500 0.247 0.000
Pb2 Pb 0.836 0.249 0.329
Pb3 Pb 0.836 0.751 0.329
Pb4 Pb 0.164 0.249 0.671
Pb5 Pb 0.164 0.751 0.671
Pb6 Pb 0.500 0.753 0.000
Mg1 Mg 0.332 0.500 0.336
Mg2 Mg 0.669 0.000 0.662
Mg3 Mg 0.000 0.500 0.000
Mg4 Mg 0.668 0.500 0.664
Mg5 Mg 0.331 0.000 0.338

Record 4
# Li2TmAu8 (GGA-PBE, optimized geometry)
# - E_form: -447.7 meV per atom
# - Excess energy over the best structure of this formula in the dataset: 34 meV/atom
# - SG: C2 (5)
data_Li2TmAu8
_chemical_formula_sum 'Li2 Tm1 Au8'
_space_group_name_H-M_alt 'P 1'
_space_group_IT_number 1
_space_group_name_Hall 'P 1'
_cell_length_a 4.109
_cell_length_b 7.758
_cell_length_c 7.839
_cell_angle_alpha 119.66
_cell_angle_beta 105.10
_cell_angle_gamma 90.00
loop_
_atom_site_label
_atom_site_type_symbol
_atom_site_fract_x
_atom_site_fract_y
_atom_site_fract_z
Au1 Au 0.473 0.754 0.582
Au2 Au 0.291 0.351 0.219
Au3 Au 0.320 0.855 0.276
Au4 Au 0.136 0.476 0.909
Au5 Au 0.636 0.175 0.909
Au6 Au 0.800 0.081 0.236
Au7 Au 0.981 0.042 0.600
Au8 Au 0.952 0.489 0.542
Li1 Li 0.792 0.602 0.220
Li2 Li 0.480 0.290 0.597
Tm1 Tm 0.136 0.885 0.909

Record 5
# PaVRe2 (GGA-PBE, optimized geometry)
# - E_form: -21.5 meV per atom
# - Excess energy over the best structure of this formula in the dataset: 0 meV/atom
# - SG: P4/mmm (123)
data_PaVRe2
_chemical_formula_sum 'Pa1 V1 Re2'
_space_group_name_H-M_alt 'P 1'
_space_group_IT_number 1
_space_group_name_Hall 'P 1'
_cell_length_a 3.028
_cell_length_b 3.028
_cell_length_c 7.429
_cell_angle_alpha 90.00
_cell_angle_beta 90.00
_cell_angle_gamma 90.00
loop_
_atom_site_label
_atom_site_type_symbol
_atom_site_fract_x
_atom_site_fract_y
_atom_site_fract_z
Re1 Re 0.000 0.000 0.799
Re2 Re 0.000 0.000 0.201
Pa1 Pa 0.500 0.500 0.500
V1 V 0.500 0.500 0.000

Record 6
# TaIn2W (GGA-PBE, optimized geometry)
# - E_form: 355.1 meV per atom
# - Excess energy over the best structure of this formula in the dataset: 37 meV/atom
# - SG: Cmm2 (35)
data_TaIn2W
_chemical_formula_sum 'Ta1 In2 W1'
_space_group_name_H-M_alt 'P 1'
_space_group_IT_number 1
_space_group_name_Hall 'P 1'
_cell_length_a 3.019
_cell_length_b 3.019
_cell_length_c 9.904
_cell_angle_alpha 90.00
_cell_angle_beta 90.00
_cell_angle_gamma 113.53
loop_
_atom_site_label
_atom_site_type_symbol
_atom_site_fract_x
_atom_site_fract_y
_atom_site_fract_z
Ta1 Ta 0.000 0.000 0.525
W1 W 0.500 0.500 0.730
In1 In 0.500 0.500 0.270
In2 In 0.000 0.000 0.975

Record 7
# Dy2Zn3Cu (GGA-PBE, optimized geometry)
# - E_form: -340.8 meV per atom
# - SG: Fmmm (69)
data_Dy2Zn3Cu
_chemical_formula_sum 'Dy4 Zn6 Cu2'
_space_group_name_H-M_alt 'P 1'
_space_group_IT_number 1
_space_group_name_Hall 'P 1'
_cell_length_a 5.620
_cell_length_b 5.620
_cell_length_c 8.466
_cell_angle_alpha 104.67
_cell_angle_beta 104.67
_cell_angle_gamma 103.73
loop_
_atom_site_label
_atom_site_type_symbol
_atom_site_fract_x
_atom_site_fract_y
_atom_site_fract_z
Zn1 Zn 0.168 0.168 0.336
Zn2 Zn 0.168 0.664 0.832
Zn3 Zn 0.336 0.832 0.168
Zn4 Zn 0.832 0.336 0.168
Zn5 Zn 0.832 0.832 0.664
Zn6 Zn 0.664 0.168 0.832
Dy1 Dy 0.746 0.746 0.000
Dy2 Dy 0.750 0.250 0.500
Dy3 Dy 0.250 0.750 0.500
Dy4 Dy 0.254 0.254 0.000
Cu1 Cu 0.667 0.667 0.335
Cu2 Cu 0.333 0.333 0.665

Record 8
# Y2C (GGA-PBE, optimized geometry)
# - E_form: -170.5 meV per atom
# - SG: P4/mmm (123)
data_Y2C
_chemical_formula_sum 'Y2 C1'
_space_group_name_H-M_alt 'P 1'
_space_group_IT_number 1
_space_group_name_Hall 'P 1'
_cell_length_a 3.621
_cell_length_b 3.621
_cell_length_c 4.978
_cell_angle_alpha 90.00
_cell_angle_beta 90.00
_cell_angle_gamma 90.00
loop_
_atom_site_label
_atom_site_type_symbol
_atom_site_fract_x
_atom_site_fract_y
_atom_site_fract_z
C1 C 0.000 0.000 0.000
Y1 Y 0.500 0.500 0.000
Y2 Y 0.000 0.000 0.500

What is the formula in the sixth record? TaIn2W

Repeat the seventh record exactly.
# Dy2Zn3Cu (GGA-PBE, optimized geometry)
# - E_form: -340.8 meV per atom
# - SG: Fmmm (69)
data_Dy2Zn3Cu
_chemical_formula_sum 'Dy4 Zn6 Cu2'
_space_group_name_H-M_alt 'P 1'
_space_group_IT_number 1
_space_group_name_Hall 'P 1'
_cell_length_a 5.620
_cell_length_b 5.620
_cell_length_c 8.466
_cell_angle_alpha 104.67
_cell_angle_beta 104.67
_cell_angle_gamma 103.73
loop_
_atom_site_label
_atom_site_type_symbol
_atom_site_fract_x
_atom_site_fract_y
_atom_site_fract_z
Zn1 Zn 0.168 0.168 0.336
Zn2 Zn 0.168 0.664 0.832
Zn3 Zn 0.336 0.832 0.168
Zn4 Zn 0.832 0.336 0.168
Zn5 Zn 0.832 0.832 0.664
Zn6 Zn 0.664 0.168 0.832
Dy1 Dy 0.746 0.746 0.000
Dy2 Dy 0.750 0.250 0.500
Dy3 Dy 0.250 0.750 0.500
Dy4 Dy 0.254 0.254 0.000
Cu1 Cu 0.667 0.667 0.335
Cu2 Cu 0.333 0.333 0.665

Which formula does entry 2 have? ScAg3B